Entry from the Open Quantum Materials Database: an optimized crystal structure of NdHoU (PBE).

abc: 5.284 5.284 5.284
angles: 60.00 60.00 60.00
Fractional positions:
1 Ho 0.250 0.250 0.250
2 Nd 0.750 0.750 0.750
3 U 0.000 0.000 0.000

Values from the calculation:
Formation enthalpy at 0 K in eV/atom: 1.26
Magnetization in μB/f.u.: 4.29
Offset from the most stable computed form in meV/atom: 0.0
Crystal system: cubic

Entry from the Open Quantum Materials Database: an optimized crystal structure of ErAsN2O (PBE).

abc: 3.767 3.767 3.781
angles: 90.00 90.00 90.00
Fractional positions:
1 As 0.000 0.000 0.500
2 Er 0.500 0.500 0.000
3 N 0.500 0.000 0.500
4 N 0.000 0.500 0.500
5 O 0.000 0.000 0.000

Values from the calculation:
Energy in Ha/atom: -0.24926
Magnetization in μB/f.u.: 0.00
Crystal system: tetragonal

Entry from the Open Quantum Materials Database: an optimized crystal structure of Rb2PrNdO4 (PBE).

abc: 3.639 3.639 12.990
angles: 90.00 90.00 120.00
Fractional positions:
1 Nd 0.000 0.000 0.500
2 O 0.333 0.667 0.094
3 O 0.333 0.667 0.408
4 O 0.667 0.333 0.592
5 O 0.667 0.333 0.906
6 Pr 0.000 0.000 0.000
7 Rb 0.667 0.333 0.251
8 Rb 0.333 0.667 0.749

Values from the calculation:
Energy in Ha/atom: -0.23686
Magnetization in μB/f.u.: 0.00
Crystal system: trigonal

Entry from the Open Quantum Materials Database: an optimized crystal structure of DyY2Cu4Sn4 (PBE).

abc: 8.430 8.430 8.430
angles: 149.33 131.34 58.62
Fractional positions:
1 Cu 0.641 0.329 0.312
2 Cu 0.982 0.671 0.312
3 Cu 0.018 0.329 0.688
4 Cu 0.359 0.671 0.688
5 Dy 0.000 0.000 0.000
6 Sn 0.216 0.216 0.000
7 Sn 0.784 0.784 0.000
8 Sn 0.703 0.500 0.203
9 Sn 0.297 0.500 0.797
10 Y 0.631 0.131 0.500
11 Y 0.369 0.869 0.500

Values from the calculation:
Energy in Ha/atom: -0.18092
Magnetization in μB/f.u.: 0.00
Crystal system: orthorhombic

Entry from the Open Quantum Materials Database: an optimized crystal structure of RbNpCd (PBE).

abc: 5.652 5.652 5.652
angles: 60.00 60.00 60.00
Fractional positions:
1 Cd 0.000 0.000 0.000
2 Np 0.250 0.250 0.250
3 Rb 0.750 0.750 0.750

Values from the calculation:
Magnetization in μB/f.u.: 5.77
Offset from the most stable computed form in meV/atom: 0.0
Crystal system: cubic

Entry from the Open Quantum Materials Database: an optimized crystal structure of YEr2Co7Ni2 (PBE).

abc: 8.585 8.585 8.585
angles: 33.26 33.26 33.26
Fractional positions:
1 Co 0.583 0.583 0.080
2 Co 0.920 0.417 0.417
3 Co 0.417 0.920 0.417
4 Co 0.500 0.500 0.500
5 Co 0.583 0.080 0.583
6 Co 0.080 0.583 0.583
7 Co 0.417 0.417 0.920
8 Er 0.140 0.140 0.140
9 Er 0.860 0.860 0.860
10 Ni 0.334 0.334 0.334
11 Ni 0.666 0.666 0.666
12 Y 0.000 0.000 0.000

Values from the calculation:
Formation enthalpy at 0 K in eV/atom: -0.24
Magnetization in μB/f.u.: 8.31
Crystal system: trigonal

Entry from the Open Quantum Materials Database: an optimized crystal structure of Li2Lu2NiSn2Pd (PBE).

abc: 4.625 4.625 6.548
angles: 90.00 90.00 90.00
Fractional positions:
1 Li 0.500 0.500 0.000
2 Li 0.000 0.000 0.500
3 Lu 0.000 0.500 0.257
4 Lu 0.500 0.000 0.743
5 Ni 0.500 0.500 0.500
6 Pd 0.000 0.000 0.000
7 Sn 0.500 0.000 0.257
8 Sn 0.000 0.500 0.743

Values from the calculation:
Energy in Ha/atom: -0.17039
Magnetization in μB/f.u.: 0.00
Crystal system: tetragonal

Entry from the Open Quantum Materials Database: an optimized crystal structure of BaYPu (PBE).

abc: 5.549 5.549 5.549
angles: 60.00 60.00 60.00
Fractional positions:
1 Ba 0.750 0.750 0.750
2 Pu 0.000 0.000 0.000
3 Y 0.250 0.250 0.250

Values from the calculation:
Magnetization in μB/f.u.: 7.45
Offset from the most stable computed form in meV/atom: 0.0
Crystal system: cubic

Repeat the second record exactly.
Entry from the Open Quantum Materials Database: an optimized crystal structure of ErAsN2O (PBE).

abc: 3.767 3.767 3.781
angles: 90.00 90.00 90.00
Fractional positions:
1 As 0.000 0.000 0.500
2 Er 0.500 0.500 0.000
3 N 0.500 0.000 0.500
4 N 0.000 0.500 0.500
5 O 0.000 0.000 0.000

Values from the calculation:
Energy in Ha/atom: -0.24926
Magnetization in μB/f.u.: 0.00
Crystal system: tetragonal

Question: magnetization of number 4 (DyY2Cu4Sn4)?
Answer: 0.00 μB/f.u.